Compound: CsErTa6Br18
Source: the Alexandria database
Functional: GGA-PBEsol
Structure: relaxed

Properties
Total moment: 0.000 μB per atom
SG: P-31c
Formation energy from raw total energies: -1.124 eV per atom

a = 9.6531 Å, b = 9.6531 Å, c = 17.9780 Å
α = 90.00°, β = 90.00°, γ = 120.00°
Fractional coordinates of all 52 atoms:
Cs: 0.3333 0.6667 0.7500
Cs: 0.6667 0.3333 0.2500
Er: 0.3333 0.6667 0.2500
Er: 0.6667 0.3333 0.7500
Ta: 0.1503 0.9618 0.0654
Ta: 0.1884 0.0382 0.5654
Ta: 0.9618 0.1503 0.5654
Ta: 0.1503 0.1884 0.4346
Ta: 0.0382 0.8497 0.4346
Ta: 0.9618 0.8116 0.9346
Ta: 0.0382 0.1884 0.0654
Ta: 0.8116 0.9618 0.4346
Ta: 0.8497 0.8116 0.5654
Ta: 0.8116 0.8497 0.0654
Ta: 0.1884 0.1503 0.9346
Ta: 0.8497 0.0382 0.9346
Br: 0.9158 0.3639 0.6614
Br: 0.4217 0.1412 0.0006
Br: 0.7652 0.9538 0.6621
Br: 0.7195 0.1412 0.4994
Br: 0.7195 0.5783 0.0006
Br: 0.4481 0.3639 0.8386
Br: 0.4481 0.0842 0.6614
Br: 0.1412 0.4217 0.5006
Br: 0.8588 0.2805 0.0006
Br: 0.2805 0.8588 0.5006
Br: 0.1887 0.9538 0.8379
Br: 0.2348 0.0462 0.3379
Br: 0.9538 0.7652 0.1621
Br: 0.3639 0.4481 0.3386
Br: 0.8113 0.7652 0.3379
Br: 0.7652 0.8113 0.8379
Br: 0.6361 0.5519 0.6614
Br: 0.5783 0.8588 0.9994
Br: 0.5783 0.7195 0.5006
Br: 0.8588 0.5783 0.4994
Br: 0.3639 0.9158 0.1614
Br: 0.5519 0.6361 0.1614
Br: 0.2805 0.4217 0.9994
Br: 0.0842 0.6361 0.3386
Br: 0.6361 0.0842 0.8386
Br: 0.5519 0.9158 0.3386
Br: 0.0462 0.8113 0.6621
Br: 0.9538 0.1887 0.3379
Br: 0.1412 0.7195 0.9994
Br: 0.0462 0.2348 0.8379
Br: 0.2348 0.1887 0.1621
Br: 0.8113 0.0462 0.1621
Br: 0.9158 0.5519 0.8386
Br: 0.1887 0.2348 0.6621
Br: 0.0842 0.4481 0.1614
Br: 0.4217 0.2805 0.4994